First-principles (GGA-PBE) data for an optimized crystal structure of HfMg2CdRu, as listed in Alexandria via LeMat-Bulk.

Geometry as POSCAR:
```
HfMg2CdRu
1.0
4.813 0.000 0.000
0.000 4.813 0.000
0.000 0.000 5.334
Hf Mg Cd Ru
1 2 1 1
direct
0.000 0.000 0.000
0.000 0.500 0.500
0.500 0.000 0.500
0.000 0.000 0.500
0.500 0.500 0.000
```

Results
The value obtained for the calculated volume is 124 Å³ per cell. As for the calculated formation energy: 1.18 eV per atom. The total energy comes out at -17.4 eV/cell. The symmetry is No. 123. The value obtained for the density of states at the Fermi level is 4.87 states/eV/f.u.